Record 1
Material: NdGePd2Pt2
Method: DFT, PBE
State: optimized geometry

Unit cell a=4.726 b=4.726 c=5.627 alpha=90.00 beta=90.00 gamma=90.00
Space group P4/mmm (No. 123)
Inequivalent atoms, fractional coordinates:
Nd1 0.000 0.000 0.000 [1 per cell]
Ge1 0.000 0.000 0.500 [1 per cell]
Pd1 0.500 0.500 0.242 [2 per cell]
Pt1 0.000 0.500 0.500 [2 per cell]

Properties
Crystal system: tetragonal
Fermi-level density of states in states/eV/cell: 6.0
Calculated density in g/cm3: 10.83


Record 2
Material: Nd3Ge6PdPt2
Method: DFT, PBE
State: optimized geometry

Unit cell a=5.9935 b=5.9935 c=8.2270 alpha=90.00 beta=90.00 gamma=120.00
Space group P-3m1 (No. 164)
Inequivalent atoms, fractional coordinates:
Nd1 0.0000 0.0000 0.0000 [1 per cell]
Nd2 0.3333 0.6667 0.6414 [2 per cell]
Ge1 0.1880 0.3759 0.2895 [6 per cell]
Pd1 0.0000 0.0000 0.5000 [1 per cell]
Pt1 0.3333 0.6667 0.0295 [2 per cell]

Properties
Crystal system: trigonal
Fermi-level density of states in states/eV/cell: 5.1
Calculated density in g/cm3: 8.86


Record 3
Material: Nd2Ge3PdPt4
Method: DFT, PBE
State: optimized geometry

Unit cell a=4.291 b=4.291 c=10.610 alpha=90.00 beta=90.00 gamma=90.00
Space group P-4m2 (No. 115)
Inequivalent atoms, fractional coordinates:
Nd1 0.000 0.500 0.242 [2 per cell]
Ge1 0.000 0.000 0.000 [1 per cell]
Ge2 0.000 0.500 0.627 [2 per cell]
Pd1 0.500 0.500 0.000 [1 per cell]
Pt1 0.000 0.000 0.500 [1 per cell]
Pt2 0.000 0.500 0.855 [2 per cell]
Pt3 0.500 0.500 0.500 [1 per cell]

Properties
Crystal system: tetragonal
Fermi-level density of states in states/eV/cell: 5.9
Calculated density in g/cm3: 11.84


Record 4
Material: Nd2Ge3PdPt12
Method: DFT, PBE
State: optimized geometry

Unit cell a=8.3280 b=8.3280 c=18.5244 alpha=90.00 beta=90.00 gamma=120.00
Space group R-3m (No. 166, hexagonal axes)
Inequivalent atoms, fractional coordinates:
Nd1 0.0000 0.0000 0.1151 [6 per cell]
Ge1 0.0000 0.5000 0.0000 [9 per cell]
Pd1 0.0000 0.0000 0.5000 [3 per cell]
Pt1 0.0098 0.5049 0.8700 [18 per cell]
Pt2 0.0196 0.5098 0.3728 [18 per cell]

Properties
Crystal system: trigonal
Fermi-level density of states in states/eV/cell: 21.3
Calculated density in g/cm3: 13.23


Record 5
Material: NdGe2PdPt5
Method: DFT, PBE
State: optimized geometry

Unit cell a=4.115 b=4.115 c=9.544 alpha=90.00 beta=90.00 gamma=90.00
Space group P4/mmm (No. 123)
Inequivalent atoms, fractional coordinates:
Nd1 0.000 0.000 0.000 [1 per cell]
Ge1 0.500 0.500 0.375 [2 per cell]
Pd1 0.000 0.000 0.500 [1 per cell]
Pt1 0.000 0.500 0.233 [4 per cell]
Pt2 0.500 0.500 0.000 [1 per cell]

Properties
Crystal system: tetragonal
Fermi-level density of states in states/eV/cell: 2.5
Calculated density in g/cm3: 14.09


Record 6
Material: Nd2GePdPt6
Method: DFT, PBE
State: optimized geometry

Unit cell a=11.921 b=5.417 c=8.626 alpha=90.00 beta=132.92 gamma=90.00
Space group C2/m (No. 12)
Inequivalent atoms, fractional coordinates:
Nd1 0.032 0.000 0.302 [4 per cell]
Ge1 0.000 0.500 0.000 [2 per cell]
Pd1 0.000 0.500 0.500 [2 per cell]
Pt1 0.163 0.500 0.913 [4 per cell]
Pt2 0.236 0.246 0.251 [8 per cell]

Properties
Crystal system: monoclinic
Fermi-level density of states in states/eV/cell: 8.8
Calculated density in g/cm3: 13.34


Record 7
Material: NdGe2Pd2Pt
Method: DFT, PBE
State: optimized geometry

Unit cell a=4.013 b=4.013 c=18.670 alpha=90.00 beta=90.00 gamma=90.00
Space group I4/mmm (No. 139)
Inequivalent atoms, fractional coordinates:
Nd1 0.000 0.000 0.000 [2 per cell]
Ge1 0.000 0.000 0.169 [4 per cell]
Pd1 0.000 0.500 0.250 [4 per cell]
Pt1 0.000 0.000 0.500 [2 per cell]

Properties
Crystal system: tetragonal
Fermi-level density of states in states/eV/cell: 8.1
Calculated density in g/cm3: 7.70


Record 8
Material: NdPu2Ge2Pd7
Method: DFT, PBE
State: optimized geometry

Unit cell a=5.833 b=5.752 c=14.177 alpha=90.00 beta=98.18 gamma=90.00
Space group C2/m (No. 12)
Inequivalent atoms, fractional coordinates:
Nd1 0.000 0.000 0.000 [2 per cell]
Pu1 0.118 0.000 0.360 [4 per cell]
Ge1 0.090 0.500 0.259 [4 per cell]
Pd1 0.000 0.500 0.000 [2 per cell]
Pd2 0.152 0.500 0.436 [4 per cell]
Pd3 0.195 0.250 0.842 [8 per cell]

Properties
Crystal system: monoclinic
Fermi-level density of states in states/eV/cell: 57.7
Calculated density in g/cm3: 10.74


Record 9
Material: NdGePdRh
Method: DFT, PBE
State: optimized geometry

Unit cell a=4.531 b=3.454 c=10.008 alpha=90.00 beta=90.00 gamma=90.00
Space group Amm2 (No. 38)
Inequivalent atoms, fractional coordinates:
Nd1 0.000 0.000 0.000 [2 per cell]
Ge1 0.500 0.000 0.359 [2 per cell]
Pd1 0.000 0.000 0.265 [2 per cell]
Rh1 0.500 0.000 0.655 [2 per cell]

Properties
Crystal system: orthorhombic
Fermi-level density of states in states/eV/cell: 3.7
Calculated density in g/cm3: 9.04


Record 10
Material: Nd2Ge4Pd3Rh
Method: DFT, PBE
State: optimized geometry

Unit cell a=4.298 b=4.298 c=10.339 alpha=90.00 beta=90.00 gamma=90.00
Space group P-4m2 (No. 115)
Inequivalent atoms, fractional coordinates:
Nd1 0.000 0.500 0.247 [2 per cell]
Ge1 0.000 0.000 0.000 [1 per cell]
Ge2 0.000 0.500 0.628 [2 per cell]
Ge3 0.500 0.500 0.000 [1 per cell]
Pd1 0.000 0.500 0.868 [2 per cell]
Pd2 0.500 0.500 0.500 [1 per cell]
Rh1 0.000 0.000 0.500 [1 per cell]

Properties
Crystal system: tetragonal
Fermi-level density of states in states/eV/cell: 6.1
Calculated density in g/cm3: 8.70


Record 11
Material: Nd2Ge3Pd4Rh
Method: DFT, PBE
State: optimized geometry

Unit cell a=4.200 b=4.200 c=10.863 alpha=90.00 beta=90.00 gamma=90.00
Space group P-4m2 (No. 115)
Inequivalent atoms, fractional coordinates:
Nd1 0.000 0.500 0.240 [2 per cell]
Ge1 0.000 0.000 0.000 [1 per cell]
Ge2 0.000 0.500 0.629 [2 per cell]
Pd1 0.000 0.000 0.500 [1 per cell]
Pd2 0.000 0.500 0.853 [2 per cell]
Pd3 0.500 0.500 0.500 [1 per cell]
Rh1 0.500 0.500 0.000 [1 per cell]

Properties
Crystal system: tetragonal
Fermi-level density of states in states/eV/cell: 7.5
Calculated density in g/cm3: 8.97


Record 12
Material: NdGe2PdRu
Method: DFT, PBE
State: optimized geometry

Unit cell a=4.198 b=4.198 c=10.623 alpha=90.00 beta=90.00 gamma=90.00
Space group I-4m2 (No. 119)
Inequivalent atoms, fractional coordinates:
Nd1 0.000 0.000 0.000 [2 per cell]
Ge1 0.000 0.000 0.377 [4 per cell]
Pd1 0.000 0.500 0.750 [2 per cell]
Ru1 0.000 0.500 0.250 [2 per cell]

Properties
Crystal system: tetragonal
Fermi-level density of states in states/eV/cell: 4.9
Calculated density in g/cm3: 8.82


Number 1: formation energy from the elements -205 meV/atom. Number 2: formation energy from the elements -466 meV/atom. Number 3: formation energy from the elements -860 meV/atom. Number 4: formation energy from the elements -249 meV/atom. Number 5: formation energy from the elements -537 meV/atom. Number 6: formation energy from the elements -720 meV/atom. Number 7: formation energy from the elements -249 meV/atom. Number 8: formation energy from the elements -599 meV/atom. Number 9: formation energy from the elements -498 meV/atom. Number 10: formation energy from the elements -822 meV/atom. Number 11: formation energy from the elements -710 meV/atom. Number 12: formation energy from the elements -716 meV/atom.